The following is a DFT calculation (PBE-GGA) of an optimized crystal structure of ZrMnSb2Te.

## Properties
* formation energy from raw total energies: 0.420 eV per atom

CIF file:
```
data_ZrMnSb2Te
_symmetry_space_group_name_H-M 'P 4/m m m'
_symmetry_Int_Tables_number 123
_symmetry_space_group_name_Hall '-P 4 2'
_cell_length_a 4.9866
_cell_length_b 4.9866
_cell_length_c 5.3058
_cell_angle_alpha 90.00
_cell_angle_beta 90.00
_cell_angle_gamma 90.00
loop_
_atom_site_label
_atom_site_fract_x
_atom_site_fract_y
_atom_site_fract_z
Zr1 0.0000 0.0000 0.0000
Mn1 0.5000 0.5000 0.5000
Sb1 0.0000 0.5000 0.5000
Te1 0.5000 0.5000 0.0000
```

***

The following is a DFT calculation (PBE-GGA) of an optimized crystal structure of Na2LaPr3Se6.

## Properties
* formation energy from raw total energies: -1.761 eV per atom

CIF file:
```
data_Na2LaPr3Se6
_symmetry_space_group_name_H-M 'C 1 2/m 1'
_symmetry_Int_Tables_number 12
_symmetry_space_group_name_Hall '-C 2y'
_cell_length_a 7.3748
_cell_length_b 12.7670
_cell_length_c 7.4856
_cell_angle_alpha 90.00
_cell_angle_beta 109.12
_cell_angle_gamma 90.00
loop_
_atom_site_label
_atom_site_fract_x
_atom_site_fract_y
_atom_site_fract_z
Na1 0.0000 0.1662 0.0000
La1 0.0000 0.5000 0.0000
Pr1 0.0000 0.0000 0.5000
Pr2 0.0000 0.3317 0.5000
Se1 0.2482 0.5000 0.7471
Se2 0.2500 0.1665 0.7495
```